# Tb4NdTl PBE optimized geometry
data_Tb4NdTl
_space_group_name_H-M_alt 'P 1'
_space_group_IT_number 1
_space_group_name_Hall 'P 1'
_cell_length_a 3.623
_cell_length_b 3.623
_cell_length_c 14.344
_cell_angle_alpha 90.00
_cell_angle_beta 90.00
_cell_angle_gamma 90.00
loop_
_atom_site_label
_atom_site_fract_x
_atom_site_fract_y
_atom_site_fract_z
Tl1 0.500 0.500 0.500
Tb1 0.000 0.000 0.647
Tb2 0.500 0.500 0.821
Tb3 0.000 0.000 0.353
Tb4 0.500 0.500 0.179
Nd1 0.000 0.000 0.000
# Calculated total energy ... -4.380 eV/atom
# DFT formation energy ... -105 meV/atom
# Space-group type ... P4/mmm
# D(E_F) ... 7.66 states/eV per cell
# Magnetization ... 0.000 μB per formula unit

***

# Dy2HfS5 PBE optimized geometry
data_Dy2HfS5
_space_group_name_H-M_alt 'P 1'
_space_group_IT_number 1
_space_group_name_Hall 'P 1'
_cell_length_a 5.182
_cell_length_b 7.058
_cell_length_c 12.739
_cell_angle_alpha 90.00
_cell_angle_beta 90.00
_cell_angle_gamma 111.53
loop_
_atom_site_label
_atom_site_fract_x
_atom_site_fract_y
_atom_site_fract_z
Hf1 0.190 0.380 0.250
Hf2 0.810 0.620 0.750
S1 0.049 0.097 0.123
S2 0.735 0.471 0.250
S3 0.693 0.386 0.915
S4 0.951 0.903 0.877
S5 0.265 0.529 0.750
S6 0.693 0.386 0.585
S7 0.307 0.614 0.085
S8 0.307 0.614 0.415
S9 0.951 0.903 0.623
S10 0.049 0.097 0.377
Dy1 0.855 0.710 0.061
Dy2 0.855 0.710 0.439
Dy3 0.145 0.290 0.939
Dy4 0.145 0.290 0.561
# Formation energy from raw total energies ... -176.4 kJ per mole of atoms
# Calculated total energy ... -6.803 eV/atom
# Space-group type ... Cmcm
# D(E_F) ... 0.00 states/eV per cell
# Magnetization ... 0.000 μB per formula unit

***

Look up the magnetization of the second one. 0.000 μB per formula unit

***

Number 1 is which compound? Tb4NdTl

***

Among the records above, which one has the highest calculated total energy? Tb4NdTl